1.
A relaxed InSbCI2 crystal, computed with PBE-GGA.

abc: 5.960 5.960 5.859
angles: 90.00 90.00 90.00
Space group P4/mmm (No. 123)
Unique sites:
In: 0.000 0.000 0.000 (multiplicity 1)
Sb: 0.000 0.000 0.500 (multiplicity 1)
C: 0.500 0.500 0.500 (multiplicity 1)
I: 0.000 0.500 0.000 (multiplicity 2)

Properties
Uncorrected formation energy (meV per atom): 1667
Spin magnetization (μB/f.u.): 3.45
Calculated density (g cm⁻³): 4.01
Energy (eV for the cell shown): -10.85



2.
A relaxed Cu3Pt3Au2 crystal, computed with PBE-GGA.

abc: 7.0840 7.0840 2.8193
angles: 90.00 90.00 120.00
Space group P-62m (No. 189)
Unique sites:
Cu: 0.0000 0.6320 0.0000 (multiplicity 3)
Pt: 0.0000 0.2271 0.5000 (multiplicity 3)
Au: 0.3333 0.6667 0.5000 (multiplicity 2)

Properties
Formation energy (eV/atom): 0.0207
Spin magnetization (μB/f.u.): 0.00
Calculated density (g cm⁻³): 15.85
Energy (eV for the cell shown): -36.80



3.
A relaxed LaTaGe2 crystal, computed with PBE-GGA.

abc: 5.951 5.951 14.173
angles: 90.00 90.00 90.00
Space group I-42d (No. 122)
Unique sites:
La: 0.000 0.000 0.000 (multiplicity 4)
Ta: 0.000 0.000 0.500 (multiplicity 4)
Ge: 0.164 0.250 0.625 (multiplicity 8)

Properties
Formation energy (eV/atom): 0.2576
Spin magnetization (μB/f.u.): 0.00
Calculated density (g cm⁻³): 6.16
Energy (eV for the cell shown): -99.94



4.
A relaxed PrPu2Tc crystal, computed with PBE-GGA.

abc: 3.331 3.331 9.032
angles: 90.00 90.00 90.00
Space group P4/mmm (No. 123)
Unique sites:
Pr: 0.000 0.000 0.000 (multiplicity 1)
Pu: 0.500 0.500 0.308 (multiplicity 2)
Tc: 0.000 0.000 0.500 (multiplicity 1)

Properties
Formation energy (eV/atom): 0.1297
Spin magnetization (μB/f.u.): 10.39
Calculated density (g cm⁻³): 12.04
Energy (eV for the cell shown): -43.29



5.
A relaxed Tm2InPt crystal, computed with PBE-GGA.

abc: 3.8273 3.8273 24.9241
angles: 90.00 90.00 120.00
Space group R-3m (No. 166, hexagonal axes)
Unique sites:
Tm: 0.0000 0.0000 0.2345 (multiplicity 6)
In: 0.0000 0.0000 0.0000 (multiplicity 3)
Pt: 0.0000 0.0000 0.5000 (multiplicity 3)

Properties
Formation energy (eV/atom): -0.7370
Spin magnetization (μB/f.u.): 0.00
Calculated density (g cm⁻³): 10.21
Energy (eV for the cell shown): -62.01



6.
A relaxed La4Dy3ScTe8 crystal, computed with PBE-GGA.

abc: 8.8336 8.8336 22.0735
angles: 90.00 90.00 120.00
Space group R-3m (No. 166, hexagonal axes)
Unique sites:
La: 0.0000 0.0000 0.0000 (multiplicity 3)
La: 0.0000 0.5000 0.0000 (multiplicity 9)
Dy: 0.0000 0.5000 0.5000 (multiplicity 9)
Sc: 0.0000 0.0000 0.5000 (multiplicity 3)
Te: 0.0000 0.0000 0.2443 (multiplicity 6)
Te: 0.0067 0.5034 0.2427 (multiplicity 18)

Properties
Uncorrected formation energy (meV per atom): -1412
Spin magnetization (μB/f.u.): 0.00
Calculated density (g cm⁻³): 7.04
Energy (eV for the cell shown): -262.71



7.
A relaxed U5SeS4 crystal, computed with PBE-GGA.

abc: 3.835 5.533 19.800
angles: 90.00 90.00 90.00
Space group Immm (No. 71)
Unique sites:
U: 0.000 0.000 0.000 (multiplicity 2)
U: 0.000 0.000 0.198 (multiplicity 4)
U: 0.000 0.000 0.394 (multiplicity 4)
Se: 0.000 0.500 0.000 (multiplicity 2)
S: 0.000 0.500 0.204 (multiplicity 4)
S: 0.000 0.500 0.401 (multiplicity 4)

Properties
Uncorrected formation energy (meV per atom): -1287
Spin magnetization (μB/f.u.): 11.52
Calculated density (g cm⁻³): 11.05
Energy (eV for the cell shown): -178.61



8.
A relaxed CsBaRuO4 crystal, computed with PBE-GGA.

abc: 6.770 6.149 8.086
angles: 90.00 105.48 90.00
Space group P2_1/m (No. 11)
Unique sites:
Cs: 0.240 0.250 0.444 (multiplicity 2)
Ba: 0.291 0.250 0.953 (multiplicity 2)
Ru: 0.240 0.750 0.167 (multiplicity 2)
O: 0.093 0.750 0.323 (multiplicity 2)
O: 0.099 0.750 0.943 (multiplicity 2)
O: 0.451 0.538 0.200 (multiplicity 4)

Properties
Uncorrected formation energy (meV per atom): -1574
Spin magnetization (μB/f.u.): 1.02
Calculated density (g cm⁻³): 4.46
Energy (eV for the cell shown): -85.81



9.
A relaxed YErNiPt crystal, computed with PBE-GGA.

abc: 4.304 3.823 10.294
angles: 90.00 90.00 90.00
Space group Amm2 (No. 38)
Unique sites:
Y: 0.000 0.000 0.000 (multiplicity 2)
Er: 0.500 0.000 0.281 (multiplicity 2)
Ni: 0.000 0.000 0.722 (multiplicity 2)
Pt: 0.500 0.000 0.566 (multiplicity 2)

Properties
Formation energy (eV/atom): -0.8768
Spin magnetization (μB/f.u.): 0.00
Calculated density (g cm⁻³): 10.00
Energy (eV for the cell shown): -52.71



10.
A relaxed Li5MgAg crystal, computed with PBE-GGA.

abc: 4.075 4.075 8.407
angles: 90.00 90.00 90.00
Space group P4/mmm (No. 123)
Unique sites:
Li: 0.000 0.000 0.000 (multiplicity 1)
Li: 0.000 0.500 0.236 (multiplicity 4)
Mg: 0.000 0.000 0.500 (multiplicity 1)
Ag: 0.500 0.500 0.000 (multiplicity 1)

Properties
Formation energy (eV/atom): -0.0047
Spin magnetization (μB/f.u.): 0.00
Calculated density (g cm⁻³): 1.98
Energy (eV for the cell shown): -14.05



11.
A relaxed HgPtAu2 crystal, computed with PBE-GGA.

abc: 2.955 4.035 6.128
angles: 90.00 90.00 90.00
Space group Pmmm (No. 47)
Unique sites:
Hg: 0.000 0.000 0.000 (multiplicity 1)
Pt: 0.000 0.000 0.500 (multiplicity 1)
Au: 0.500 0.500 0.264 (multiplicity 2)

Properties
Formation energy (eV/atom): 0.0852
Spin magnetization (μB/f.u.): 0.00
Calculated density (g cm⁻³): 17.94
Energy (eV for the cell shown): -12.56



12.
A relaxed LiScCd4 crystal, computed with PBE-GGA.

abc: 8.128 8.128 8.128
angles: 90.00 90.00 90.00
Space group F-43m (No. 216)
Unique sites:
Li: 0.000 0.000 0.000 (multiplicity 4)
Sc: 0.250 0.250 0.750 (multiplicity 4)
Cd: 0.125 0.125 0.375 (multiplicity 16)

Properties
Formation energy (eV/atom): -0.0858
Spin magnetization (μB/f.u.): 0.00
Calculated density (g cm⁻³): 6.20
Energy (eV for the cell shown): -49.68